(1)
Material: In2Ge2Se
Method: DFT, PBE
State: relaxed

Geometry as CIF:
```
data_In2Ge2Se
_cell_length_a 7.8024
_cell_length_b 7.8024
_cell_length_c 4.0662
_cell_angle_alpha 90.00
_cell_angle_beta 90.00
_cell_angle_gamma 90.00
_space_group_name_H-M_alt 'P 4/m b m'
_space_group_IT_number 127
_space_group_name_Hall '-P 4 2ab'
loop_
_atom_site_label
_atom_site_type_symbol
_atom_site_fract_x
_atom_site_fract_y
_atom_site_fract_z
_atom_site_occupancy
In1 In 0.1810 0.3190 0.0000 1
Ge1 Ge 0.1129 0.6129 0.5000 1
Se1 Se 0.0000 0.0000 0.0000 1
```

* energy relative to the elements, uncorrected: 0.751 eV per formula unit
* theoretical density: 6.09 g/cm3
* volume: 124 Å³/f.u.
* energy relative to the lowest polymorph listed for this composition: 111.2 meV/atom


(2)
Material: Ba5HgRh2
Method: DFT, PBE
State: relaxed

Geometry as CIF:
```
data_Ba5HgRh2
_cell_length_a 8.6390
_cell_length_b 8.6390
_cell_length_c 15.9216
_cell_angle_alpha 90.00
_cell_angle_beta 90.00
_cell_angle_gamma 90.00
_space_group_name_H-M_alt 'I 4/m c m'
_space_group_IT_number 140
_space_group_name_Hall '-I 4 2c'
loop_
_atom_site_label
_atom_site_type_symbol
_atom_site_fract_x
_atom_site_fract_y
_atom_site_fract_z
_atom_site_occupancy
Ba1 Ba 0.0000 0.0000 0.0000 1
Ba2 Ba 0.1634 0.3366 0.1283 1
Hg1 Hg 0.0000 0.0000 0.2500 1
Rh1 Rh 0.1317 0.3683 0.5000 1
```

* theoretical density: 6.11 g/cm3
* volume: 297 Å³/f.u.
* ΔH_f (0 K): -2.1 eV per formula unit


(3)
Material: NiGeRhCl2
Method: DFT, PBE
State: relaxed

Geometry as CIF:
```
data_NiGeRhCl2
_cell_length_a 4.2789
_cell_length_b 4.2789
_cell_length_c 5.2976
_cell_angle_alpha 90.00
_cell_angle_beta 90.00
_cell_angle_gamma 90.00
_space_group_name_H-M_alt 'P 4/m m m'
_space_group_IT_number 123
_space_group_name_Hall '-P 4 2'
loop_
_atom_site_label
_atom_site_type_symbol
_atom_site_fract_x
_atom_site_fract_y
_atom_site_fract_z
_atom_site_occupancy
Ni1 Ni 0.0000 0.0000 0.0000 1
Ge1 Ge 0.5000 0.5000 0.5000 1
Rh1 Rh 0.0000 0.0000 0.5000 1
Cl1 Cl 0.0000 0.5000 0.0000 1
```

* energy relative to the elements, uncorrected: 1.935 eV per formula unit
* theoretical density: 5.22 g/cm3
* volume: 97 Å³/f.u.